No. 1
CsTl3Cd | PBE | relaxed

Values from the calculation:
As for the formation energy: -0.069 eV per atom. The polymorph energy (0 for the lowest one) comes out at 0 meV per atom. For the total magnetization, the calculation gives 0.0 μB per formula unit. As for the electronic total energy: -1.8429 eV/atom.

Structure (CIF):
```
data_CsTl3Cd
_chemical_formula_sum 'Cs2 Tl6 Cd2'
_symmetry_space_group_name_H-M 'C 1 m 1'
_symmetry_Int_Tables_number 8
_symmetry_space_group_name_Hall 'C -2y'
_cell_length_a 7.531
_cell_length_b 7.522
_cell_length_c 7.558
_cell_angle_alpha 90.00
_cell_angle_beta 119.78
_cell_angle_gamma 90.00
loop_
_atom_site_label
_atom_site_type_symbol
_atom_site_fract_x
_atom_site_fract_y
_atom_site_fract_z
Cs1 Cs 0.000 0.000 0.000
Tl1 Tl 0.384 0.000 0.769
Tl2 Tl 0.496 0.250 0.492
Cd1 Cd 0.121 0.500 0.242
```

No. 2
CsTl11Cd | PBE | relaxed

Values from the calculation:
As for the formation energy: -0.015 eV per atom. For the total magnetization, the calculation gives 0.0 μB per formula unit. As for the electronic total energy: -2.1529 eV/atom.

Structure (CIF):
```
data_CsTl11Cd
_chemical_formula_sum 'Cs2 Tl22 Cd2'
_symmetry_space_group_name_H-M 'C 1 2/m 1'
_symmetry_Int_Tables_number 12
_symmetry_space_group_name_Hall '-C 2y'
_cell_length_a 6.485
_cell_length_b 16.169
_cell_length_c 8.675
_cell_angle_alpha 90.00
_cell_angle_beta 110.80
_cell_angle_gamma 90.00
loop_
_atom_site_label
_atom_site_type_symbol
_atom_site_fract_x
_atom_site_fract_y
_atom_site_fract_z
Cs1 Cs 0.000 0.000 0.000
Tl1 Tl 0.000 0.000 0.500
Tl2 Tl 0.102 0.393 0.220
Tl3 Tl 0.179 0.178 0.361
Tl4 Tl 0.250 0.250 0.000
Cd1 Cd 0.000 0.500 0.500
```